Record 1
# LaGa4PdAu2

A relaxed LaGa4PdAu2 crystal (PBE, Alexandria via LeMat-Bulk).

Cell: 4.417 4.417 9.517 Å, 76.58 76.58 60.00°
Sites, in units of the cell vectors:
Ga: 0.599 0.599 0.203
Ga: 0.867 0.867 0.400
Ga: 0.401 0.401 0.797
Ga: 0.133 0.133 0.600
La: 0.000 0.000 0.000
Au: 0.756 0.756 0.733
Au: 0.244 0.244 0.267
Pd: 0.500 0.500 0.500

Output
The total magnetic moment is 0.000 μB/f.u. Its final energy is -32.85 eV for the cell shown.

***

Record 2
# Pr4Cd5In

A relaxed Pr4Cd5In crystal (PBE, Alexandria via LeMat-Bulk).

Cell: 5.270 6.709 8.644 Å, 104.57 107.75 90.00°
Sites, in units of the cell vectors:
Pr: 0.310 0.674 0.621
Pr: 0.097 0.867 0.194
Pr: 0.690 0.326 0.379
Pr: 0.903 0.133 0.806
Cd: 0.709 0.831 0.419
Cd: 0.905 0.608 0.811
Cd: 0.500 0.500 0.000
Cd: 0.095 0.392 0.189
Cd: 0.291 0.169 0.581
In: 0.500 0.000 0.000

Output
The total magnetic moment is 0.000 μB/f.u. Its final energy is -29.81 eV for the cell shown.

***

> What is the final energy in the first record?

-32.85 eV for the cell shown

***

> Number 1 is which compound?

LaGa4PdAu2

***

> Number 2 is which compound?

Pr4Cd5In